An optimized crystal structure of Rb2BRhI6, computed with PBE.

Output
* formation energy from raw total energies: -0.378 eV/atom

Lattice parameters (Å, degrees): 8.043 8.043 8.043 112.69 112.69 103.21
Fractional coordinates of all 10 atoms:
1 Rb 0.250 0.750 0.500
2 Rb 0.750 0.250 0.500
3 B 0.000 0.000 0.000
4 Rh 0.500 0.500 0.000
5 I 0.210 0.210 0.000
6 I 0.286 0.286 0.572
7 I 0.286 0.714 0.000
8 I 0.714 0.286 0.000
9 I 0.714 0.714 0.428
10 I 0.790 0.790 0.000


An optimized crystal structure of CaCd3N, computed with PBE.

Output
* relative energy among the computed polymorphs: 0.993 eV per atom
* formation energy from raw total energies: 1.397 eV/atom

Lattice parameters (Å, degrees): 6.424 6.424 6.424 90.00 90.00 90.00
Fractional coordinates of all 5 atoms:
1 Ca 0.000 0.000 0.000
2 Cd 0.000 0.000 0.500
3 Cd 0.000 0.500 0.000
4 Cd 0.500 0.000 0.000
5 N 0.500 0.500 0.500


An optimized crystal structure of SrH3Pd3, computed with PBE.

Output
* relative energy among the computed polymorphs: 0.168 eV per atom

Lattice parameters (Å, degrees): 8.011 8.011 8.011 39.14 39.14 39.14
Fractional coordinates of all 14 atoms:
1 Sr 0.167 0.167 0.167
2 Sr 0.833 0.833 0.833
3 H 0.067 0.747 0.411
4 H 0.253 0.589 0.933
5 H 0.411 0.067 0.747
6 H 0.589 0.933 0.253
7 H 0.747 0.411 0.067
8 H 0.933 0.253 0.589
9 Pd 0.065 0.383 0.714
10 Pd 0.286 0.935 0.617
11 Pd 0.383 0.714 0.065
12 Pd 0.617 0.286 0.935
13 Pd 0.714 0.065 0.383
14 Pd 0.935 0.617 0.286


An optimized crystal structure of Pm3Y, computed with PBE.

Output
* relative energy among the computed polymorphs: 0.014 eV per atom
* DFT formation energy: 2.6 kJ/mol of atoms

Lattice parameters (Å, degrees): 3.684 5.846 6.365 90.00 90.00 90.00
Fractional coordinates of all 4 atoms:
1 Pm 0.000 0.000 0.000
2 Pm 0.000 0.500 0.333
3 Pm 0.500 0.000 0.498
4 Y 0.500 0.500 0.833


An optimized crystal structure of HgPb2S2, computed with PBE.

Output
* relative energy among the computed polymorphs: 0.000 eV per atom
* formation energy from raw total energies: -0.285 eV/atom

Lattice parameters (Å, degrees): 7.317 7.317 7.317 139.82 139.82 58.12
Fractional coordinates of all 5 atoms:
1 Hg 0.000 0.000 0.000
2 Pb 0.349 0.349 0.000
3 Pb 0.651 0.651 0.000
4 S 0.250 0.750 0.500
5 S 0.750 0.250 0.500


An optimized crystal structure of AcMg2Tl2Ag2, computed with PBE.

Output
* DFT formation energy: -18.8 kJ/mol of atoms

Lattice parameters (Å, degrees): 9.286 9.286 9.286 29.97 29.97 29.97
Fractional coordinates of all 7 atoms:
1 Ac 0.000 0.000 0.000
2 Mg 0.140 0.140 0.140
3 Mg 0.860 0.860 0.860
4 Tl 0.258 0.258 0.258
5 Tl 0.742 0.742 0.742
6 Ag 0.445 0.445 0.445
7 Ag 0.555 0.555 0.555


An optimized crystal structure of ScCd3Se, computed with PBE.

Output
* relative energy among the computed polymorphs: 0.000 eV per atom
* formation energy from raw total energies: 0.478 eV/atom

Lattice parameters (Å, degrees): 5.290 5.290 5.290 90.00 90.00 90.00
Fractional coordinates of all 5 atoms:
1 Sc 0.000 0.000 0.000
2 Cd 0.000 0.500 0.500
3 Cd 0.500 0.000 0.500
4 Cd 0.500 0.500 0.000
5 Se 0.500 0.500 0.500


An optimized crystal structure of CePmNiPt, computed with PBE.

Output
* relative energy among the computed polymorphs: 0.112 eV per atom
* DFT formation energy: -59.4 kJ/mol of atoms

Lattice parameters (Å, degrees): 4.988 4.988 4.988 60.00 60.00 60.00
Fractional coordinates of all 4 atoms:
1 Ce 0.000 0.000 0.000
2 Pm 0.500 0.500 0.500
3 Ni 0.250 0.250 0.250
4 Pt 0.750 0.750 0.750


An optimized crystal structure of B3TeH, computed with PBE.

Output
* relative energy among the computed polymorphs: 0.770 eV per atom

Lattice parameters (Å, degrees): 4.500 4.500 4.500 90.00 90.00 90.00
Fractional coordinates of all 5 atoms:
1 B 0.000 0.000 0.500
2 B 0.000 0.500 0.000
3 B 0.500 0.000 0.000
4 Te 0.000 0.000 0.000
5 H 0.500 0.500 0.500


An optimized crystal structure of Pm8ScGe6, computed with PBE.

Output
* DFT formation energy: -61.0 kJ/mol of atoms

Lattice parameters (Å, degrees): 8.036 8.036 8.036 66.15 66.15 66.15
Fractional coordinates of all 15 atoms:
1 Pm 0.064 0.731 0.398
2 Pm 0.166 0.166 0.166
3 Pm 0.269 0.602 0.936
4 Pm 0.398 0.064 0.731
5 Pm 0.602 0.936 0.269
6 Pm 0.731 0.398 0.064
7 Pm 0.834 0.834 0.834
8 Pm 0.936 0.269 0.602
9 Sc 0.500 0.500 0.500
10 Ge 0.106 0.432 0.758
11 Ge 0.242 0.894 0.568
12 Ge 0.432 0.758 0.106
13 Ge 0.568 0.242 0.894
14 Ge 0.758 0.106 0.432
15 Ge 0.894 0.568 0.242


An optimized crystal structure of Sm3P5S12, computed with PBE.

Output
* formation energy from raw total energies: -0.602 eV/atom

Lattice parameters (Å, degrees): 13.152 13.152 13.152 109.47 109.47 109.47
Fractional coordinates of all 80 atoms:
1 Sm 0.125 0.250 0.375
2 Sm 0.125 0.375 0.750
3 Sm 0.250 0.375 0.125
4 Sm 0.250 0.875 0.625
5 Sm 0.375 0.125 0.250
6 Sm 0.375 0.750 0.125
7 Sm 0.625 0.250 0.875
8 Sm 0.625 0.875 0.750
9 Sm 0.750 0.125 0.375
10 Sm 0.750 0.625 0.875
11 Sm 0.875 0.625 0.250
12 Sm 0.875 0.750 0.625
13 P 0.000 0.000 0.000
14 P 0.000 0.000 0.500
15 P 0.000 0.500 0.000
16 P 0.000 0.500 0.500
17 P 0.125 0.750 0.875
18 P 0.125 0.875 0.250
19 P 0.250 0.125 0.875
20 P 0.250 0.625 0.375
21 P 0.375 0.250 0.625
22 P 0.375 0.625 0.750
23 P 0.500 0.000 0.000
24 P 0.500 0.000 0.500
25 P 0.500 0.500 0.000
26 P 0.500 0.500 0.500
27 P 0.625 0.375 0.250
28 P 0.625 0.750 0.375
29 P 0.750 0.375 0.625
30 P 0.750 0.875 0.125
31 P 0.875 0.125 0.750
32 P 0.875 0.250 0.125
33 S 0.028 0.204 0.122
34 S 0.028 0.324 0.906
35 S 0.082 0.704 0.676
36 S 0.082 0.878 0.406
37 S 0.094 0.622 0.418
38 S 0.094 0.972 0.676
39 S 0.122 0.028 0.204
40 S 0.122 0.594 0.918
41 S 0.176 0.204 0.582
42 S 0.176 0.472 0.594
43 S 0.204 0.122 0.028
44 S 0.204 0.582 0.176
45 S 0.296 0.324 0.918
46 S 0.296 0.472 0.378
47 S 0.324 0.906 0.028
48 S 0.324 0.918 0.296
49 S 0.378 0.296 0.472
50 S 0.378 0.582 0.906
51 S 0.406 0.082 0.878
52 S 0.406 0.824 0.528
53 S 0.418 0.094 0.622
54 S 0.418 0.824 0.796
55 S 0.472 0.378 0.296
56 S 0.472 0.594 0.176
57 S 0.528 0.406 0.824
58 S 0.528 0.622 0.704
59 S 0.582 0.176 0.204
60 S 0.582 0.906 0.378
61 S 0.594 0.176 0.472
62 S 0.594 0.918 0.122
63 S 0.622 0.418 0.094
64 S 0.622 0.704 0.528
65 S 0.676 0.082 0.704
66 S 0.676 0.094 0.972
67 S 0.704 0.528 0.622
68 S 0.704 0.676 0.082
69 S 0.796 0.418 0.824
70 S 0.796 0.878 0.972
71 S 0.824 0.528 0.406
72 S 0.824 0.796 0.418
73 S 0.878 0.406 0.082
74 S 0.878 0.972 0.796
75 S 0.906 0.028 0.324
76 S 0.906 0.378 0.582
77 S 0.918 0.122 0.594
78 S 0.918 0.296 0.324
79 S 0.972 0.676 0.094
80 S 0.972 0.796 0.878


An optimized crystal structure of Li2ThMgHg4, computed with PBE.

Output
* DFT formation energy: -27.3 kJ/mol of atoms

Lattice parameters (Å, degrees): 9.456 9.456 9.456 29.12 29.12 29.12
Fractional coordinates of all 8 atoms:
1 Li 0.236 0.236 0.236
2 Li 0.764 0.764 0.764
3 Th 0.000 0.000 0.000
4 Mg 0.500 0.500 0.500
5 Hg 0.123 0.123 0.123
6 Hg 0.391 0.391 0.391
7 Hg 0.609 0.609 0.609
8 Hg 0.877 0.877 0.877


Which formula does entry 10 have?
Pm8ScGe6